Record 1
5
Lattice="4.519 0.000 0.000 0.000 4.519 0.000 0.000 0.000 5.223" Properties=species:S:1:pos:R:3 comment="AlSnBrF2 GGA-PBE relaxed" formation_energy_uncorrected_mev_per_atom=-290 pbc="T T T"
F 0.000 2.259 0.000
F 2.259 0.000 0.000
Sn 2.259 2.259 2.611
Br 0.000 0.000 0.000
Al 0.000 0.000 2.611

---

Record 2
6
Lattice="-0.650 0.765 -4.459 1.681 -4.141 -0.955 -8.428 -3.563 0.618" Properties=species:S:1:pos:R:3 comment="ThBiPb GGA-PBE relaxed" formation_energy_mev_per_atom=-387.8 polymorph_energy_kj_per_mol_atoms=0.0 pbc="T T T"
Pb 0.000 0.000 0.000
Pb 0.515 -1.688 -2.707
Bi -2.096 -3.312 -0.262
Bi -5.817 -1.939 -1.827
Th -5.169 -4.611 -0.037
Th -2.743 -0.640 -2.052

---

Record 3
4
Lattice="-4.055 -1.164 1.233 0.768 -4.110 -1.352 1.400 -0.956 3.701" Properties=species:S:1:pos:R:3 comment="BaZnRu2 GGA-PBE relaxed" formation_energy_mev_per_atom=890.8 pbc="T T T"
Ba 1.084 -2.533 1.174
Ru 0.000 0.000 0.000
Ru -1.643 -2.637 -0.060
Zn -1.327 -1.060 2.467

---

Record 4
3
Lattice="4.450 0.000 0.000 2.225 3.854 0.000 2.225 1.285 3.633" Properties=species:S:1:pos:R:3 comment="ZrMoPt GGA-PBE relaxed" formation_energy_mev_per_atom=103.4 polymorph_energy_kj_per_mol_atoms=60.3 pbc="T T T"
Mo 4.450 2.569 1.817
Pt 6.675 3.854 2.725
Zr 0.000 0.000 0.000

---

Record 5
4
Lattice="-2.165 0.511 4.165 -0.278 -4.209 -2.123 2.086 -0.730 1.174" Properties=species:S:1:pos:R:3 comment="AlCr2Cu GGA-PBE relaxed" formation_energy_mev_per_atom=90.0 pbc="T T T"
Cr 0.000 0.000 0.000
Cr -1.222 -1.849 1.021
Al 0.904 -2.469 -0.475
Cu -0.039 -0.110 2.670

---

Record 6
4
Lattice="-1.825 2.999 1.042 -3.435 0.545 -1.149 -4.815 -3.148 7.062" Properties=species:S:1:pos:R:3 comment="Bi2IrPd GGA-PBE relaxed" formation_energy_mev_per_atom=308.8 pbc="T T T"
Ir -5.037 0.199 3.478
Bi -3.896 -1.849 4.932
Bi -6.179 2.246 2.023
Pd 0.000 0.000 0.000

---

Record 7
4
Lattice="-0.188 -3.731 3.942 -3.063 -4.289 -1.311 4.035 2.647 -2.490" Properties=species:S:1:pos:R:3 comment="CaYBe2 GGA-PBE relaxed" formation_energy_mev_per_atom=556.8 polymorph_energy_kj_per_mol_atoms=34.4 pbc="T T T"
Y 1.111 -2.547 1.384
Be 0.000 0.000 0.000
Be -0.327 -2.825 -1.243
Ca -1.626 -4.010 1.316

---

Record 8
10
Lattice="4.436 0.000 0.000 -2.218 10.271 -0.979 0.000 1.887 11.609" Properties=species:S:1:pos:R:3 comment="Ba3SrCd GGA-PBE relaxed" formation_energy_mev_per_atom=-72.6 polymorph_energy_kj_per_mol_atoms=0.0 pbc="T T T"
Ba 0.000 1.785 2.701
Ba 2.218 10.374 7.929
Ba 0.000 8.282 0.135
Ba 2.218 3.876 10.495
Ba 0.000 6.514 7.624
Ba 2.218 5.644 3.007
Sr 2.218 2.916 6.329
Sr 0.000 9.242 4.301
Cd 2.218 7.645 10.323
Cd 0.000 4.513 0.307

---

Record 9
8
Lattice="6.125 0.000 0.000 0.000 6.125 0.000 3.063 3.063 2.915" Properties=species:S:1:pos:R:3 comment="Ta2ZnH GGA-PBE relaxed" polymorph_energy_kj_per_mol_atoms=11.5 pbc="T T T"
H 3.063 3.063 0.000
H 3.063 6.125 1.458
Zn 0.000 0.000 0.000
Zn 6.125 3.063 1.458
Ta 4.091 1.531 0.729
Ta 2.034 4.594 0.729
Ta 4.594 5.097 2.186
Ta 7.656 7.154 2.186

---

Record 10
8
Lattice="6.320 0.000 0.000 0.000 6.320 0.000 3.160 3.160 6.347" Properties=species:S:1:pos:R:3 comment="MnSb2Pb GGA-PBE relaxed" formation_energy_uncorrected_mev_per_atom=461 pbc="T T T"
Pb 0.000 0.000 0.000
Pb 6.320 3.160 3.174
Sb 4.201 1.580 1.587
Sb 2.119 4.740 1.587
Sb 4.740 5.279 4.760
Sb 7.900 7.361 4.760
Mn 3.160 3.160 0.000
Mn 3.160 6.320 3.174

---

Record 11
5
Lattice="-3.925 1.849 -2.716 1.150 -3.319 -3.921 -3.089 -3.517 2.071" Properties=species:S:1:pos:R:3 comment="LaSbIr2Cl GGA-PBE relaxed" formation_energy_uncorrected_mev_per_atom=870 pbc="T T T"
Sb -2.932 -2.494 -2.283
Ir -1.545 -1.759 1.036
Ir -1.963 0.924 -1.358
Cl 0.575 -1.659 -1.960
La 0.000 0.000 0.000

---

Calculated E (eV per atom), listed in the same order as above: -2.92, -5.39, -4.55, -8.37, -6.68, -5.15, -3.42, -1.75, -6.94, -4.82, -4.85